Record 1
## CaLaZn10 (PBE)

Data for a relaxed structure of CaLaZn10.

abc: 4.2879 5.3934 9.4112
angles: 90.00 90.00 90.00
Last column: nearest neighbours and their distance in Å.
Space group Pmmm (No. 47)
Inequivalent atoms, fractional coordinates:
Ca (0.0000, 0.0000, 0.0000)  6 Zn 3.04-3.09
La (0.0000, 0.5000, 0.5000)  18 Zn 3.17-3.45
Zn (0.0000, 0.0000, 0.3235)  6 Zn 2.63-2.71
Zn (0.0000, 0.5000, 0.1602)  6 Zn 2.62-2.67
Zn (0.5000, 0.0000, 0.5000)  8 Zn 2.69-2.71
Zn (0.5000, 0.2528, 0.2532)  8 Zn 2.63-2.73
Zn (0.5000, 0.5000, 0.0000)  8 Zn 2.62-2.73

Summary:
total magnetization: 0.00 μB/cell
total energy: -0.140 Ry/atom
ΔH_f (0 K): -262 meV/atom

Record 2
## CaLa2Zn4 (PBE)

Data for a relaxed structure of CaLa2Zn4.

abc: 5.1445 5.1445 25.1951
angles: 90.00 90.00 120.00
Last column: nearest neighbours and their distance in Å.
Space group R-3m (No. 166, hexagonal axes)
Inequivalent atoms, fractional coordinates:
Ca (0.0000, 0.0000, 0.0000)  8 Zn 3.13-3.17
La (0.0000, 0.0000, 0.2476)  8 Zn 3.10-3.26
Zn (0.0000, 0.0000, 0.1244)  4 La 3.10-3.13, 1 Ca 3.13
Zn (0.0000, 0.0000, 0.3770)  4 La 3.15-3.26, 3 Ca 3.17

Summary:
total magnetization: 0.00 μB/cell
total energy: -0.185 Ry/atom
ΔH_f (0 K): -89 meV/atom

Record 3
## Ca3LaZn (PBE)

Data for a relaxed structure of Ca3LaZn.

abc: 5.7337 5.7337 5.7337
angles: 90.00 90.00 90.00
Last column: nearest neighbours and their distance in Å.
Space group Pm-3m (No. 221)
Inequivalent atoms, fractional coordinates:
Ca (0.0000, 0.0000, 0.5000)  2 Zn 2.87
La (0.5000, 0.5000, 0.5000)  12 Ca 4.05
Zn (0.0000, 0.0000, 0.0000)  6 Ca 2.87

Summary:
total magnetization: 0.00 μB/cell
total energy: -0.171 Ry/atom
distance to the lowest polymorph of the same formula: 0.0 meV/atom
ΔH_f (0 K): 108 meV/atom

Record 4
## Ca6LaZn2 (PBE)

Data for a relaxed structure of Ca6LaZn2.

abc: 13.3873 3.7771 13.0057
angles: 90.00 111.16 90.00
Last column: nearest neighbours and their distance in Å.
Space group C2/m (No. 12)
Inequivalent atoms, fractional coordinates:
Ca (0.0419, 0.0000, 0.3141)  2 Zn 3.14
Ca (0.1719, 0.5000, 0.5914)  2 Zn 3.39, 4 Ca 3.58-3.78
Ca (0.1920, 0.5000, 0.8749)  2 Zn 3.15
La (0.0000, 0.0000, 0.0000)  4 Zn 3.32
Zn (0.1602, 0.5000, 0.2023)  6 Ca 3.14-3.39, 2 La 3.32

Summary:
total magnetization: 0.04 μB/cell
total energy: -0.165 Ry/atom
ΔH_f (0 K): -78 meV/atom